VASP calculation (GGA-PBEsol) on a relaxed Y2Hf2O7 crystal.

abc: 7.202 7.202 12.381
angles: 90.00 90.00 90.00
Positions (direct):
1 O 0.091 0.927 0.084
2 O 0.144 0.856 0.750
3 O 0.137 0.348 0.703
4 O 0.152 0.637 0.953
5 O 0.583 0.176 0.676
6 O 0.917 0.676 0.574
7 O 0.409 0.427 0.166
8 O 0.083 0.324 0.074
9 O 0.856 0.144 0.250
10 O 0.909 0.073 0.584
11 O 0.073 0.909 0.416
12 O 0.927 0.091 0.916
13 O 0.652 0.863 0.797
14 O 0.363 0.848 0.547
15 O 0.824 0.417 0.824
16 O 0.863 0.652 0.203
17 O 0.637 0.152 0.047
18 O 0.324 0.083 0.926
19 O 0.591 0.573 0.666
20 O 0.573 0.591 0.334
21 O 0.644 0.644 0.000
22 O 0.348 0.137 0.297
23 O 0.427 0.409 0.834
24 O 0.676 0.917 0.426
25 O 0.176 0.583 0.324
26 O 0.417 0.824 0.176
27 O 0.356 0.356 0.500
28 O 0.848 0.363 0.453
29 Hf 0.374 0.399 0.344
30 Hf 0.626 0.601 0.844
31 Hf 0.126 0.899 0.906
32 Hf 0.899 0.126 0.094
33 Hf 0.874 0.101 0.406
34 Hf 0.101 0.874 0.594
35 Hf 0.601 0.626 0.156
36 Hf 0.399 0.374 0.656
37 Y 0.860 0.377 0.634
38 Y 0.623 0.140 0.866
39 Y 0.140 0.623 0.134
40 Y 0.123 0.360 0.884
41 Y 0.640 0.877 0.616
42 Y 0.877 0.640 0.384
43 Y 0.377 0.860 0.366
44 Y 0.360 0.123 0.116

Results
The value obtained for the uncorrected formation energy is -339 kJ/mol of atoms. The calculated volume is 160.5 Å³/f.u. The value obtained for the total DFT energy (no corrections) is -440.037 eV for the cell shown. As for the space group: No. 92.

***

VASP calculation (GGA-PBEsol) on a relaxed YHf3O crystal.

abc: 5.048 5.048 5.048
angles: 90.00 90.00 90.00
Positions (direct):
1 Hf 0.500 0.000 0.000
2 Hf 0.000 0.000 0.500
3 Hf 0.000 0.500 0.000
4 O 0.500 0.500 0.500
5 Y 0.000 0.000 0.000

Results
The value obtained for the uncorrected formation energy is 200 kJ/mol of atoms. The calculated volume is 128.7 Å³/f.u. The value obtained for the total DFT energy (no corrections) is -33.222 eV for the cell shown. As for the space group: No. 221.

***

VASP calculation (GGA-PBEsol) on a relaxed Y2Hf2O7 crystal.

abc: 5.507 5.818 5.818
angles: 108.01 95.72 95.72
Positions (direct):
1 O 0.201 0.405 0.058
2 O 0.729 0.443 0.443
3 O 0.799 0.595 0.942
4 O 0.271 0.557 0.557
5 O 0.201 0.058 0.405
6 O 0.500 0.000 0.000
7 O 0.799 0.942 0.595
8 Hf 0.399 0.258 0.258
9 Hf 0.601 0.742 0.742
10 Y 0.000 0.309 0.691
11 Y 0.000 0.691 0.309

Results
The value obtained for the uncorrected formation energy is -340 kJ/mol of atoms. The calculated volume is 174.7 Å³/f.u. The value obtained for the total DFT energy (no corrections) is -110.163 eV for the cell shown. As for the space group: No. 12.

***

VASP calculation (GGA-PBEsol) on a relaxed Y2Hf2O7 crystal.

abc: 7.344 7.344 7.344
angles: 60.00 60.00 60.00
Positions (direct):
1 Hf 0.125 0.125 0.625
2 Hf 0.625 0.125 0.125
3 Hf 0.125 0.625 0.125
4 Hf 0.125 0.125 0.125
5 O 0.786 0.214 0.214
6 O 0.464 0.036 0.464
7 O 0.214 0.786 0.214
8 O 0.036 0.036 0.464
9 O 0.214 0.214 0.786
10 O 0.036 0.464 0.464
11 O 0.464 0.464 0.036
12 O 0.214 0.786 0.786
13 O 0.036 0.464 0.036
14 O 0.464 0.036 0.036
15 O 0.750 0.750 0.750
16 O 0.786 0.214 0.786
17 O 0.786 0.786 0.214
18 O 0.500 0.500 0.500
19 Y 0.125 0.625 0.625
20 Y 0.625 0.125 0.625
21 Y 0.625 0.625 0.625
22 Y 0.625 0.625 0.125

Results
The value obtained for the uncorrected formation energy is -349 kJ/mol of atoms. The calculated volume is 140.0 Å³/f.u. The value obtained for the total DFT energy (no corrections) is -222.273 eV for the cell shown. As for the space group: No. 227.